Density functional theory data (GGA-PBE) for an optimized crystal structure of Rb2UBr4Cl2.

Cell: 6.5510 7.6287 7.6287 Å, 62.50 83.36 83.36°
With the nearest neighbours (Å) after each atom.
Sites, in units of the cell vectors:
Rb  0.2302  0.6644  0.6644  1 Cl 3.45, 4 Br 3.68-3.79
Rb  0.7698  0.3356  0.3356  1 Cl 3.45, 4 Br 3.68-3.79
U  0.5000  0.0000  0.0000  2 Cl 2.60, 4 Br 2.80
Br  0.2951  0.6502  0.1581  1 U 2.80
Br  0.7049  0.8419  0.3498  1 U 2.80
Br  0.7049  0.3498  0.8419  1 U 2.80
Br  0.2951  0.1581  0.6502  1 U 2.80
Cl  0.2085  0.1563  0.1563  1 U 2.60
Cl  0.7915  0.8437  0.8437  1 U 2.60

**Symmetry**: C2/m (12)
**Raw formation energy**: -1.6644 eV/atom
**Volume**: 37.2 Å³/atom
**N(E_F)**: 5.73 states/eV/f.u.

Density functional theory data (GGA-PBE) for an optimized crystal structure of TmReW.

Cell: 5.4374 5.4374 5.4374 Å, 90.39 119.50 120.05°
With the nearest neighbours (Å) after each atom.
Sites, in units of the cell vectors:
Tm  0.2500  0.1232  0.8732  6 Re 3.17-3.21, 6 W 3.19-3.20, 4 Tm 3.33-3.34
Tm  0.7500  0.8768  0.1268  6 Re 3.17-3.21, 6 W 3.19-3.20, 4 Tm 3.33-3.34
Re  0.0000  0.5000  0.5000  2 Re 2.72, 4 W 2.72
Re  0.5000  0.0000  0.5000  2 Re 2.72, 4 W 2.72
W  0.5000  0.5000  0.5000  4 Re 2.72, 2 W 2.74
W  0.0000  0.5000  0.0000  4 Re 2.72, 2 W 2.74

**Symmetry**: Imma (74)
**Volume**: 19.0 Å³/atom
**N(E_F)**: 2.20 states/eV/f.u.
**Energy of formation**: -0.142 eV per atom

Density functional theory data (GGA-PBE) for an optimized crystal structure of Sr2LaPt.

Cell: 6.6853 6.6853 6.6853 Å, 139.82 139.82 58.12°
With the nearest neighbours (Å) after each atom.
Sites, in units of the cell vectors:
La  0.2500  0.7500  0.5000  4 Pt 3.25
Pt  0.7500  0.2500  0.5000  4 La 3.25
Sr  0.0000  0.0000  0.0000  4 Sr 3.25
Sr  0.5000  0.5000  0.0000  4 Sr 3.25

**Symmetry**: I4/mmm (139)
**E above lowest polymorph**: 0.476 eV per atom
**Volume**: 30.8 Å³/atom
**N(E_F)**: 3.10 states/eV/f.u.
**Energy of formation**: -0.131 eV per atom

Density functional theory data (GGA-PBE) for an optimized crystal structure of Ce2Nd2Ge3.

Cell: 4.2747 7.2455 7.3687 Å, 99.29 90.00 107.14°
With the nearest neighbours (Å) after each atom.
Sites, in units of the cell vectors:
Ce  0.6262  0.2525  0.8809  5 Ge 2.96-2.99
Ce  0.3738  0.7475  0.1191  5 Ge 2.96-2.99
Nd  0.8712  0.7429  0.6285  4 Ge 2.99-3.00
Nd  0.1288  0.2571  0.3715  4 Ge 2.99-3.00
Ge  0.0000  0.0000  0.0000  4 Ce 2.99, 2 Nd 3.00
Ge  0.7535  0.5067  0.2476  3 Ce 2.96, 3 Nd 2.99-3.00
Ge  0.2465  0.4933  0.7524  3 Ce 2.96, 3 Nd 2.99-3.00

**Symmetry**: C2/m (12)
**Volume**: 30.7 Å³/atom
**N(E_F)**: 7.93 states/eV/f.u.
**Energy of formation**: -0.549 eV per atom